# Sm3Pb (PBE, optimized geometry)
data_Sm3Pb
_space_group_name_H-M_alt 'F m -3 m'
_space_group_IT_number 225
_space_group_name_Hall '-F 4 2 3'
_cell_length_a 7.877
_cell_length_b 7.877
_cell_length_c 7.877
_cell_angle_alpha 90.00
_cell_angle_beta 90.00
_cell_angle_gamma 90.00
loop_
_atom_site_label
_atom_site_type_symbol
_atom_site_fract_x
_atom_site_fract_y
_atom_site_fract_z
_atom_site_occupancy
Sm1 Sm 0.000 0.000 0.000 1
Sm2 Sm 0.250 0.250 0.250 1
Pb1 Pb 0.000 0.000 0.500 1
# ΔH_f (0 K) (eV per atom): -0.1325